Entry 1:
DFT (PBE) results for an optimized crystal structure of La3ErSi2N6.

## Properties
**Formation energy from raw total energies**: -1.164 eV/atom
**SG**: P-3m1
**E**: -7.8421 eV per atom
**Density**: 6.15 g/cm3

The structure in extended XYZ format:
```
12
Lattice="5.868 0.000 0.000 -2.934 5.082 0.000 0.000 0.000 6.559" Properties=species:S:1:pos:R:3 pbc="T T T"
La 0.000 0.000 0.000
La 0.000 3.388 4.250
La 2.934 1.694 2.309
Er 0.000 0.000 3.279
Si 0.000 3.388 1.282
Si 2.934 1.694 5.277
N 0.000 1.781 1.879
N -1.391 4.191 1.879
N 1.543 0.891 4.680
N 1.391 4.191 1.879
N 4.325 0.891 4.680
N 2.934 3.300 4.680
```


Entry 2:
DFT (PBE) results for an optimized crystal structure of Te3C5.

## Properties
**Relative energy among the computed polymorphs**: 0.000 eV per atom
**Formation energy from raw total energies**: 1.279 eV/atom
**SG**: Pm
**E**: -5.6644 eV per atom
**Density**: 3.68 g/cm3

The structure in extended XYZ format:
```
16
Lattice="7.996 0.000 0.000 0.000 5.196 0.000 -3.520 0.000 9.618" Properties=species:S:1:pos:R:3 pbc="T T T"
Te 0.000 0.000 0.000
Te -0.800 2.598 4.214
Te 1.276 2.598 1.060
Te 1.458 0.000 3.514
Te 3.690 0.000 0.691
Te 4.028 2.598 3.234
C 1.666 0.000 1.374
C 1.052 2.598 3.171
C 3.487 2.598 1.157
C 2.312 0.000 7.009
C 2.316 2.598 7.005
C 2.316 1.300 7.009
C 2.316 3.896 7.009
C 5.732 0.000 3.386
C 5.759 1.298 3.330
C 5.759 3.898 3.330
```


Entry 3:
DFT (PBE) results for an optimized crystal structure of GdErGaCo.

## Properties
**SG**: F-43m
**E**: -7.5159 eV per atom
**Density**: 8.94 g/cm3

The structure in extended XYZ format:
```
4
Lattice="0.000 3.479 3.479 3.479 0.000 3.479 3.479 3.479 0.000" Properties=species:S:1:pos:R:3 pbc="T T T"
Gd 0.000 0.000 0.000
Er 3.479 3.479 3.479
Ga 1.739 1.739 1.739
Co 5.218 5.218 5.218
```


Entry 4:
DFT (PBE) results for an optimized crystal structure of Na2Pu2VS6.

## Properties
**Formation energy from raw total energies**: -1.329 eV/atom
**SG**: C2/m
**E**: -7.2546 eV per atom
**Density**: 5.05 g/cm3

The structure in extended XYZ format:
```
11
Lattice="3.329 -5.686 0.000 3.329 5.686 0.000 -2.214 0.000 6.745" Properties=species:S:1:pos:R:3 pbc="T T T"
Na 3.329 3.759 0.000
Na 3.329 -3.759 0.000
Pu 2.222 1.886 3.373
Pu 2.222 -1.886 3.373
V -1.107 0.000 3.373
S -0.070 1.776 4.812
S 0.912 0.000 1.940
S -0.070 -1.776 4.812
S 4.515 1.776 1.933
S 3.532 0.000 4.805
S 4.515 -1.776 1.933
```


Entry 5:
DFT (PBE) results for an optimized crystal structure of NaPbICl2.

## Properties
**Formation energy from raw total energies**: -1.206 eV/atom
**SG**: P2_1/m
**E**: -3.2603 eV per atom
**Density**: 4.44 g/cm3

The structure in extended XYZ format:
```
10
Lattice="8.427 0.000 0.000 0.000 4.186 0.000 -2.681 0.000 9.079" Properties=species:S:1:pos:R:3 pbc="T T T"
Na 0.993 1.046 1.498
Na 4.753 3.139 7.581
Pb 0.018 3.139 6.239
Pb 5.728 1.046 2.840
I 3.408 3.139 1.816
I 2.338 1.046 7.263
Cl -1.666 1.046 7.773
Cl 0.107 1.046 4.166
Cl 5.639 3.139 4.913
Cl 7.412 3.139 1.306
```


Entry 6:
DFT (PBE) results for an optimized crystal structure of Te2Pd5Se2.

## Properties
**Formation energy from raw total energies**: -0.239 eV/atom
**SG**: C2/m
**E**: -4.5962 eV per atom
**Density**: 8.48 g/cm3

The structure in extended XYZ format:
```
9
Lattice="6.192 -2.373 0.000 6.192 2.373 0.000 -2.155 0.000 6.300" Properties=species:S:1:pos:R:3 pbc="T T T"
Te 0.323 0.000 2.157
Te 9.906 0.000 4.143
Pd -0.556 0.000 5.997
Pd 2.839 0.000 3.426
Pd 6.192 0.000 0.000
Pd 7.390 0.000 2.874
Pd 10.785 0.000 0.304
Se 3.820 0.000 1.001
Se 6.409 0.000 5.300
```


Entry 7:
DFT (PBE) results for an optimized crystal structure of SrHo5Te8.

## Properties
**Formation energy from raw total energies**: -1.301 eV/atom
**SG**: F-43m
**E**: -4.8513 eV per atom
**Density**: 5.94 g/cm3

The structure in extended XYZ format:
```
14
Lattice="0.000 6.463 6.463 6.463 0.000 6.463 6.463 6.463 0.000" Properties=species:S:1:pos:R:3 pbc="T T T"
Sr 0.000 0.000 0.000
Ho 8.098 4.829 4.829
Ho 3.232 3.232 3.232
Ho 4.829 8.098 4.829
Ho 4.829 4.829 8.098
Ho 8.098 8.098 8.098
Te 4.947 4.947 4.947
Te 7.980 7.980 4.947
Te 7.980 4.947 7.980
Te 11.137 8.253 8.253
Te 4.947 7.980 7.980
Te 8.253 11.137 8.253
Te 8.253 8.253 11.137
Te 11.137 11.137 11.137
```


Entry 8:
DFT (PBE) results for an optimized crystal structure of Zn2NiC.

## Properties
**SG**: I4_1/amd
**E**: -3.9535 eV per atom
**Density**: 5.51 g/cm3

The structure in extended XYZ format:
```
8
Lattice="-4.023 4.023 1.877 4.023 -4.023 1.877 4.023 4.023 -1.877" Properties=species:S:1:pos:R:3 pbc="T T T"
Zn 0.000 0.000 0.000
Zn 2.012 2.012 -0.939
Zn 2.012 -2.012 0.939
Zn 0.000 4.023 0.000
Ni 4.023 2.012 0.469
Ni 0.000 2.012 1.408
C 4.023 -2.012 1.408
C 0.000 6.035 0.469
```